[1]
Density functional theory data (PBE) for a relaxed structure of Th2MgMn.

Results
DFT formation energy (eV per atom): 0.239
Total moment (μB per cell): 0.00
Space-group type: No. 166
Crystal system: trigonal
ΔE to the lowest computed polymorph (eV per atom): 0.096

POSCAR file:
```
Th2MgMn
1.0
-3.615 -0.858 1.097
-2.614 -1.101 -2.638
0.219 -8.856 0.636
Th Mn Mg
2 1 1
direct
0.725 0.725 0.825
0.275 0.275 0.175
0.000 0.000 0.000
0.500 0.500 0.500
```

***

[2]
Density functional theory data (PBE) for a relaxed structure of Th2MgMn.

Results
DFT formation energy (eV per atom): 0.231
Total moment (μB per cell): 2.85
Space-group type: No. 123
Crystal system: tetragonal
ΔE to the lowest computed polymorph (eV per atom): 0.088

POSCAR file:
```
Th2MgMn
1.0
-3.610 0.810 2.292
-2.708 -1.079 -3.885
-0.155 -4.649 1.399
Th Mg Mn
2 1 1
direct
0.000 0.000 0.500
0.000 0.500 0.000
0.500 0.500 0.500
0.500 0.000 0.000
```

***

[3]
Density functional theory data (PBE) for a relaxed structure of TmThMgMn.

Results
DFT formation energy (eV per atom): 0.145
Total moment (μB per cell): 2.48
Space-group type: No. 216
Crystal system: cubic

POSCAR file:
```
TmThMgMn
1.0
5.169 0.000 0.000
2.584 4.476 0.000
2.584 1.492 4.220
Tm Mn Mg Th
1 1 1 1
direct
0.250 0.250 0.250
0.500 0.500 0.500
0.000 0.000 0.000
0.750 0.750 0.750
```

***

[4]
Density functional theory data (PBE) for a relaxed structure of YThMgMn.

Results
DFT formation energy (eV per atom): 0.152
Total moment (μB per cell): 2.60
Space-group type: No. 216
Crystal system: cubic

POSCAR file:
```
YThMgMn
1.0
-0.080 2.520 -4.572
1.201 -2.539 -4.402
-3.726 -1.061 -3.501
Y Th Mn Mg
1 1 1 1
direct
0.750 0.750 0.750
0.250 0.250 0.250
0.000 0.000 0.000
0.500 0.500 0.500
```

***

[5]
Density functional theory data (PBE) for a relaxed structure of MgTi2Mn.

Results
DFT formation energy (eV per atom): 0.694
Total moment (μB per cell): 0.00
Space-group type: No. 122
Crystal system: tetragonal

POSCAR file:
```
MgTi2Mn
1.0
3.759 0.000 0.000
0.000 3.759 0.000
1.880 1.880 9.403
Mg Ti Mn
2 4 2
direct
0.500 0.500 0.000
0.250 0.750 0.500
0.375 0.356 0.750
0.644 0.125 0.250
0.875 0.894 0.750
0.106 0.625 0.250
0.000 0.000 0.000
0.750 0.250 0.500
```

***

[6]
Density functional theory data (PBE) for a relaxed structure of Mg14TiMn.

Results
DFT formation energy (eV per atom): 0.081
Total moment (μB per cell): 1.65
Space-group type: No. 38
Crystal system: orthorhombic
ΔE to the lowest computed polymorph (eV per atom): 0.000

POSCAR file:
```
Mg14TiMn
1.0
2.230 4.443 3.863
-6.190 -0.999 -0.573
0.394 -6.802 7.596
Mg Ti Mn
14 1 1
direct
0.170 0.830 0.253
0.329 0.166 0.500
0.672 0.328 0.740
0.165 0.335 0.739
0.672 0.328 0.260
0.665 0.835 0.261
0.665 0.835 0.739
0.832 0.667 0.000
0.170 0.830 0.747
0.334 0.666 0.000
0.165 0.335 0.261
0.834 0.671 0.500
0.833 0.167 0.000
0.333 0.168 0.000
0.328 0.672 0.500
0.833 0.167 0.500
```

***

[7]
Density functional theory data (PBE) for a relaxed structure of MgTi2Mn.

Results
DFT formation energy (eV per atom): -0.058
Total moment (μB per cell): 0.00
Space-group type: No. 123
Crystal system: tetragonal

POSCAR file:
```
MgTi2Mn
1.0
3.012 0.000 0.000
0.000 3.012 0.000
0.000 0.000 7.227
Mg Ti Mn
1 2 1
direct
0.500 0.500 0.500
0.000 0.000 0.195
0.000 0.000 0.805
0.500 0.500 0.000
```

***

[8]
Density functional theory data (PBE) for a relaxed structure of MgTi3Mn.

Results
DFT formation energy (eV per atom): 0.342
Total moment (μB per cell): 1.48
Space-group type: No. 221
Crystal system: cubic

POSCAR file:
```
MgTi3Mn
1.0
-2.578 1.139 3.592
-3.291 -2.801 -1.474
1.836 -3.422 2.402
Ti Mg Mn
3 1 1
direct
0.500 0.000 0.000
0.000 0.500 0.000
0.000 0.000 0.500
0.500 0.500 0.500
0.000 0.000 0.000
```

***

Which formula does entry 8 have?
MgTi3Mn

***

What is the total moment in the seventh record?
0.00 μB per cell